1.
Compound: ScFe2Pb
Source: Alexandria
Functional: PBE
Structure: optimized geometry

POSCAR file:
```
ScFe2Pb
1.0
-0.585 -3.424 3.016
3.575 -2.624 1.222
1.762 0.340 4.236
Fe Pb Sc
2 1 1
direct
0.250 0.250 0.250
0.000 0.000 0.000
0.500 0.500 0.500
0.750 0.750 0.750
```

## Properties
Final energy   -6.569 eV/atom
ΔE_f   0.1723 eV per atom

=====

2.
Compound: LiPm2In
Source: Alexandria
Functional: PBE
Structure: optimized geometry

POSCAR file:
```
LiPm2In
1.0
4.008 0.000 0.000
0.000 5.281 0.000
0.000 0.000 5.281
Pm In Li
2 1 1
direct
0.000 0.500 0.000
0.000 0.000 0.500
0.500 0.500 0.500
0.500 0.000 0.000
```

## Properties
Final energy   -3.785 eV/atom
ΔE_f   -0.2467 eV per atom

=====

3.
Compound: SrAgSb2
Source: Alexandria
Functional: PBE
Structure: optimized geometry

POSCAR file:
```
SrAgSb2
1.0
5.409 0.000 0.000
2.705 4.685 0.000
2.705 1.562 4.417
Sr Ag Sb
1 1 2
direct
0.750 0.750 0.750
0.500 0.500 0.500
0.250 0.250 0.250
0.000 0.000 0.000
```

## Properties
Final energy   -3.399 eV/atom

=====

4.
Compound: Li2Mg2Pb5
Source: Alexandria
Functional: PBE
Structure: optimized geometry

POSCAR file:
```
Li2Mg2Pb5
1.0
-5.220 1.467 -6.500
-0.520 -7.165 -1.200
-3.179 2.488 8.626
Mg Pb Li
4 10 4
direct
0.333 0.925 0.717
0.884 0.425 0.717
0.116 0.708 0.283
0.667 0.208 0.283
0.721 0.768 0.109
0.112 0.159 0.891
0.279 0.659 0.891
0.347 0.043 0.286
0.561 0.257 0.714
0.653 0.757 0.714
0.888 0.268 0.109
0.066 0.148 0.500
0.934 0.648 0.500
0.439 0.543 0.286
0.500 0.362 0.000
0.000 0.862 0.000
0.718 0.966 0.500
0.282 0.466 0.500
```

## Properties
Final energy   -2.882 eV/atom
ΔE_f   -0.0421 eV per atom

=====

5.
Compound: Mg14CdC
Source: Alexandria
Functional: PBE
Structure: optimized geometry

POSCAR file:
```
Mg14CdC
1.0
-2.727 3.908 -4.079
-3.081 -5.076 2.019
-3.732 5.262 7.536
Mg Cd C
14 1 1
direct
0.498 0.996 0.000
0.504 0.496 0.500
0.667 0.333 0.751
0.161 0.839 0.269
0.004 0.502 0.000
0.667 0.333 0.249
0.161 0.839 0.731
0.161 0.321 0.731
0.161 0.321 0.269
0.992 0.496 0.500
0.498 0.502 0.000
0.679 0.839 0.731
0.679 0.839 0.269
0.504 0.008 0.500
0.000 0.000 0.000
0.000 0.000 0.500
```

## Properties
Energy above the lowest structure with this stoichiometry   109 meV per atom
Final energy   -1.776 eV/atom
ΔE_f   0.2530 eV per atom

=====

6.
Compound: ScBe3F
Source: Alexandria
Functional: PBE
Structure: optimized geometry

POSCAR file:
```
ScBe3F
1.0
-3.660 0.520 3.627
-2.225 -4.388 -1.616
2.911 -2.701 3.324
Sc Be F
1 3 1
direct
0.000 0.000 0.000
0.000 0.500 0.000
0.000 0.000 0.500
0.500 0.000 0.000
0.500 0.500 0.500
```

## Properties
Energy above the lowest structure with this stoichiometry   1523 meV per atom
Final energy   -2.298 eV/atom

=====

7.
Compound: LaBe2CuH8
Source: Alexandria
Functional: PBE
Structure: optimized geometry

POSCAR file:
```
LaBe2CuH8
1.0
4.354 0.000 0.000
2.177 3.770 0.000
2.177 1.257 6.135
H Be Cu La
8 2 1 1
direct
0.733 0.050 0.819
0.267 0.950 0.181
0.050 0.399 0.819
0.399 0.733 0.819
0.178 0.178 0.465
0.950 0.601 0.181
0.822 0.822 0.535
0.601 0.267 0.181
0.740 0.740 0.779
0.260 0.260 0.221
0.000 0.000 0.000
0.500 0.500 0.500
```

## Properties
Final energy   -3.775 eV/atom

=====

8.
Compound: CsGaB
Source: Alexandria
Functional: PBE
Structure: optimized geometry

POSCAR file:
```
CsGaB
1.0
-2.120 -5.865 -4.761
5.886 -3.728 3.609
-1.060 -3.139 1.815
Cs Ga B
2 2 2
direct
0.242 0.632 0.749
0.632 0.242 0.749
0.780 0.780 0.577
0.094 0.094 0.529
0.979 0.120 0.103
0.120 0.979 0.103
```

## Properties
Final energy   -3.009 eV/atom
ΔE_f   0.5106 eV per atom